Below is a relaxed structure of Y2ZnH, with properties calculated at the PBE-GGA level.

a = 4.8843 Å, b = 4.8843 Å, c = 4.8843 Å
α = 60.00°, β = 60.00°, γ = 60.00°
Last column: nearest neighbours and their distance in Å.
Atoms (fractional coordinates):
Y 0.2500 0.2500 0.2500  4 H 2.99, 4 Zn 2.99
H 0.0000 0.0000 0.0000  8 Y 2.99
Zn 0.5000 0.5000 0.5000  8 Y 2.99
Y 0.7500 0.7500 0.7500  4 H 2.99, 4 Zn 2.99

- distance to the lowest polymorph of the same formula (meV/atom) = 286
- space-group type = Fm-3m


Below is a relaxed structure of CaTa2MnNi, with properties calculated at the PBE-GGA level.

a = 4.7352 Å, b = 4.0404 Å, c = 4.7352 Å
α = 90.00°, β = 90.00°, γ = 90.00°
Last column: nearest neighbours and their distance in Å.
Atoms (fractional coordinates):
Ta 0.5000 0.0000 0.0000  2 Ca 2.37
Ta 0.0000 0.0000 0.5000  2 Ca 2.37
Ni 0.5000 0.5000 0.5000  8 Ta 3.11, 4 Mn 3.35
Ca 0.0000 0.0000 0.0000  2 Mn 2.02
Mn 0.0000 0.5000 0.0000  2 Ca 2.02

- space-group type = P4/mmm
- energy of formation (eV per atom) = 2.614


Below is a relaxed structure of Pr2Co12Ge7, with properties calculated at the PBE-GGA level.

a = 3.8172 Å, b = 9.4083 Å, c = 9.4083 Å
α = 120.00°, β = 90.00°, γ = 90.00°
Last column: nearest neighbours and their distance in Å.
Atoms (fractional coordinates):
Co 0.5000 0.3853 0.2920  4 Ge 2.41-2.45, 3 Co 2.64-2.68
Ge 0.5000 0.4330 0.0625  7 Co 2.36-2.45
Co 0.0000 0.7730 0.7193  4 Ge 2.36-2.41, 1 Co 2.55
Ge 0.5000 0.6295 0.5670  7 Co 2.36-2.45
Co 0.5000 0.5421 0.7691  5 Ge 2.42-2.56, 1 Co 2.64
Ge 0.0000 0.3333 0.6667  3 Co 2.27
Ge 0.0000 0.7259 0.9465  7 Co 2.30-2.56
Co 0.5000 0.2270 0.4579  5 Ge 2.42-2.56, 1 Co 2.64
Ge 0.0000 0.0535 0.7793  7 Co 2.30-2.56
Co 0.5000 0.2309 0.7730  5 Ge 2.42-2.56, 1 Co 2.64
Ge 0.5000 0.9375 0.3705  7 Co 2.36-2.45
Co 0.0000 0.9464 0.2270  4 Ge 2.36-2.41, 1 Co 2.55
Co 0.0000 0.4648 0.5199  4 Ge 2.27-2.36
Pr 0.0000 0.6667 0.3333  6 Ge 3.06, 12 Co 3.13-3.25
Co 0.0000 0.0552 0.5352  4 Ge 2.27-2.36
Pr 0.5000 0.0000 0.0000  6 Ge 3.04, 9 Co 3.09-3.28
Ge 0.0000 0.2207 0.2741  7 Co 2.30-2.56
Co 0.0000 0.4801 0.9448  4 Ge 2.27-2.36
Co 0.0000 0.2807 0.0536  4 Ge 2.36-2.41, 1 Co 2.55
Co 0.5000 0.9068 0.6147  4 Ge 2.41-2.45, 3 Co 2.64-2.68
Co 0.5000 0.7080 0.0932  4 Ge 2.41-2.45, 3 Co 2.64-2.68

- space-group type = P-6
- energy of formation (eV per atom) = -0.296


Below is a relaxed structure of LaErPd2, with properties calculated at the PBE-GGA level.

a = 5.0755 Å, b = 5.0755 Å, c = 5.0755 Å
α = 60.00°, β = 60.00°, γ = 60.00°
Last column: nearest neighbours and their distance in Å.
Atoms (fractional coordinates):
Pd 0.2500 0.2500 0.2500  4 La 3.11, 4 Er 3.11
La 0.5000 0.5000 0.5000  8 Pd 3.11
Pd 0.7500 0.7500 0.7500  4 La 3.11, 4 Er 3.11
Er 0.0000 0.0000 0.0000  8 Pd 3.11

- distance to the lowest polymorph of the same formula (meV/atom) = 68
- space-group type = Fm-3m
- energy of formation (eV per atom) = -0.803


Below is a relaxed structure of ZrFe2Cl, with properties calculated at the PBE-GGA level.

a = 8.0897 Å, b = 8.0897 Å, c = 8.0897 Å
α = 22.66°, β = 22.66°, γ = 22.66°
Last column: nearest neighbours and their distance in Å.
Atoms (fractional coordinates):
Fe 0.5035 0.5035 0.5035  3 Cl 2.63, 3 Zr 2.75
Zr 0.7500 0.7500 0.7500  6 Fe 2.75
Fe 0.9965 0.9965 0.9965  3 Cl 2.63, 3 Zr 2.75
Cl 0.2500 0.2500 0.2500  6 Fe 2.63

- raw formation energy (meV/atom) = 230
- distance to the lowest polymorph of the same formula (meV/atom) = 391
- space-group type = R-3m


Below is a relaxed structure of PmTlIO, with properties calculated at the PBE-GGA level.

a = 4.1747 Å, b = 4.1747 Å, c = 15.4395 Å
α = 90.00°, β = 90.00°, γ = 90.00°
Last column: nearest neighbours and their distance in Å.
Atoms (fractional coordinates):
I 0.7500 0.7500 0.1940  4 Pm 3.51, 4 O 3.65
Pm 0.2500 0.2500 0.0711  4 O 2.36
O 0.7500 0.2500 0.0000  4 Pm 2.36
Tl 0.7500 0.2500 0.5000  4 Tl 2.95
Tl 0.2500 0.7500 0.5000  4 Tl 2.95
O 0.2500 0.7500 0.0000  4 Pm 2.36
I 0.2500 0.2500 0.8060  4 Pm 3.51, 4 O 3.65
Pm 0.7500 0.7500 0.9289  4 O 2.36

- raw formation energy (meV/atom) = -1873
- space-group type = P4/nmm


Below is a relaxed structure of HfZn2Pd, with properties calculated at the PBE-GGA level.

a = 7.3348 Å, b = 7.3348 Å, c = 5.8271 Å
α = 51.00°, β = 51.00°, γ = 90.00°
Last column: nearest neighbours and their distance in Å.
Atoms (fractional coordinates):
Hf 0.0000 0.0000 0.0000  2 Pd 2.66, 4 Zn 2.82
Hf 0.7500 0.2500 0.5000  2 Pd 2.66, 4 Zn 2.82
Zn 0.5974 0.1250 0.2500  2 Pd 2.54, 2 Zn 2.69, 2 Hf 2.82
Pd 0.5000 0.5000 0.0000  4 Zn 2.54, 2 Hf 2.66
Zn 0.8750 0.8474 0.7500  2 Pd 2.54, 2 Zn 2.69, 2 Hf 2.82
Pd 0.2500 0.7500 0.5000  4 Zn 2.54, 2 Hf 2.66
Zn 0.1526 0.6250 0.2500  2 Pd 2.54, 2 Zn 2.69, 2 Hf 2.82
Zn 0.3750 0.4026 0.7500  2 Pd 2.54, 2 Zn 2.69, 2 Hf 2.82

- space-group type = I-42d
- energy of formation (eV per atom) = -0.051


Below is a relaxed structure of PmEr3C, with properties calculated at the PBE-GGA level.

a = 5.0124 Å, b = 5.0124 Å, c = 5.0124 Å
α = 90.00°, β = 90.00°, γ = 90.00°
Last column: nearest neighbours and their distance in Å.
Atoms (fractional coordinates):
Er 0.0000 0.0000 0.5000  2 C 2.51
C 0.0000 0.0000 0.0000  6 Er 2.51
Er 0.5000 0.0000 0.0000  2 C 2.51
Er 0.0000 0.5000 0.0000  2 C 2.51
Pm 0.5000 0.5000 0.5000  12 Er 3.54

- space-group type = Pm-3m
- energy of formation (eV per atom) = -0.031